First-principles (GGA-PBE) data for a geometry-optimized Ca5Ge structure, as listed in the Alexandria database.

```
6
Lattice="2.4078 -7.8312 0.0000 2.4078 7.8312 0.0000 0.0000 0.0000 5.2880" Properties=species:S:1:pos:R:3 pbc="T T T"
Ca 0.0000 0.0000 0.0000
Ca 2.4078 5.6053 2.6440
Ca 2.4078 2.5428 0.0000
Ca 2.4078 -2.5428 0.0000
Ca 2.4078 -5.6053 2.6440
Ge 2.4078 0.0000 2.6440
```

## Properties
* DFT formation energy: -15.7 kJ/mol of atoms
* density of states at the Fermi level: 3.459 states/eV/cell

=====

First-principles (GGA-PBE) data for a geometry-optimized TlAgAs2 structure, as listed in the Alexandria database.

```
4
Lattice="1.6184 0.9344 9.7891 -1.6184 0.9344 9.7891 0.0000 -1.8688 9.7891" Properties=species:S:1:pos:R:3 pbc="T T T"
Tl 0.0000 0.0000 0.0000
Ag 0.0000 0.0000 14.6837
As 0.0000 0.0000 6.9776
As 0.0000 0.0000 22.3898
```

## Properties
* DFT formation energy: 27.6 kJ/mol of atoms
* density of states at the Fermi level: 2.256 states/eV/cell

=====

First-principles (GGA-PBE) data for a geometry-optimized Pm7Pr2Sc2 structure, as listed in the Alexandria database.

```
11
Lattice="6.1803 -3.4715 0.0000 6.1803 3.4715 0.0000 -3.8080 0.0000 8.5664" Properties=species:S:1:pos:R:3 pbc="T T T"
Pm 0.0000 0.0000 0.0000
Pm -0.2308 1.5966 7.0261
Pm -0.2308 -1.5966 7.0261
Pm 5.5135 0.0000 1.5055
Pm 3.0389 0.0000 7.0609
Pm 8.7832 1.5966 1.5403
Pm 8.7832 -1.5966 1.5403
Pr 1.0522 0.0000 3.9340
Pr 7.5003 0.0000 4.6324
Sc 4.2762 1.6883 4.2832
Sc 4.2762 -1.6883 4.2832
```

## Properties
* DFT formation energy: 18.3 kJ/mol of atoms
* density of states at the Fermi level: 15.987 states/eV/cell

=====

First-principles (GGA-PBE) data for a geometry-optimized Tb3ErTm2Se6 structure, as listed in the Alexandria database.

```
12
Lattice="8.8633 -2.0206 0.0000 8.8633 2.0206 0.0000 -1.9853 0.0000 7.9200" Properties=species:S:1:pos:R:3 pbc="T T T"
Tb 0.0000 0.0000 0.0000
Tb 4.5963 0.0000 5.2809
Tb 11.1449 0.0000 2.6392
Er -0.9927 0.0000 3.9600
Tm 5.5834 0.0000 1.3264
Tm 10.1578 0.0000 6.5937
Se 1.7703 0.0000 4.6569
Se 2.8317 0.0000 0.6241
Se 8.3285 0.0000 2.0030
Se 7.4128 0.0000 5.9170
Se 12.9095 0.0000 7.2959
Se 13.9709 0.0000 3.2631
```

## Properties
* raw formation energy: -1.723 eV per atom
* density of states at the Fermi level: 5.427 states/eV/cell

=====

First-principles (GGA-PBE) data for a geometry-optimized BaP2OsS structure, as listed in the Alexandria database.

```
5
Lattice="4.5446 0.0000 0.0000 0.0000 4.5446 0.0000 0.0000 0.0000 5.5717" Properties=species:S:1:pos:R:3 pbc="T T T"
Ba 0.0000 0.0000 0.0000
P 0.0000 2.2723 2.7859
P 2.2723 0.0000 2.7859
Os 2.2723 2.2723 2.7859
S 2.2723 2.2723 0.0000
```

## Properties
* raw formation energy: -0.359 eV per atom
* density of states at the Fermi level: 2.929 states/eV/cell

=====

First-principles (GGA-PBE) data for a geometry-optimized La8Pr2Nd structure, as listed in the Alexandria database.

```
11
Lattice="4.6752 -8.5264 0.0000 4.6752 8.5264 0.0000 -3.5028 0.0000 5.0816" Properties=species:S:1:pos:R:3 pbc="T T T"
La -0.3851 2.0150 3.4812
La 4.6752 5.0463 0.0000
La -0.3851 -2.0150 3.4812
La 3.2403 0.0000 1.0253
La 2.6073 0.0000 4.0563
La 6.2327 2.0150 1.6003
La 4.6752 -5.0463 0.0000
La 6.2327 -2.0150 1.6003
Pr 2.9238 3.2570 2.5408
Pr 2.9238 -3.2570 2.5408
Nd 0.0000 0.0000 0.0000
```

## Properties
* DFT formation energy: 10.7 kJ/mol of atoms
* density of states at the Fermi level: 16.462 states/eV/cell

=====

| no. | electronic total energy (eV/atom) |
| --- | --- |
| 1 | -2.601 |
| 2 | -3.343 |
| 3 | -4.854 |
| 4 | -5.749 |
| 5 | -5.979 |
| 6 | -4.775 |